Entry from Alexandria via LeMat-Bulk: crystalline K2CrHO4 at its relaxed geometry (PBE+U).

Results
Total DFT energy (no corrections) in eV/atom: -5.5999

Lattice parameters (Å, degrees): 6.308 6.753 5.969 123.74 133.73 81.38
Last column: magnetic moment on the atom in μB.
Positions (direct):
K  0.595  0.015  0.133  0.00
K  0.261  0.321  0.458  0.00
Cr  0.716  0.676  0.442  1.07
H  0.991  0.671  0.958  0.01
O  0.770  0.672  0.787  -0.02
O  0.719  0.397  0.162  -0.04
O  0.346  0.678  0.122  0.01
O  0.988  0.956  0.712  -0.04